Below is a PBEsol-optimized structure of Cu2AgHgBi, with properties calculated at the meta-GGA SCAN level.

Lattice parameters (Å, degrees): 4.845 4.845 5.746 90.00 90.00 90.00
Element x y z (fractional)
1 Cu 0.000 0.500 0.000
2 Cu 0.500 0.000 0.000
3 Bi 0.000 0.000 0.000
4 Ag 0.500 0.500 0.500
5 Hg 0.000 0.000 0.500

Total moment: 0.000 μB per atom
E_form: 0.85 eV per atom
SG: No. 123


Below is a PBEsol-optimized structure of CuAgBiO2, with properties calculated at the meta-GGA SCAN level.

Lattice parameters (Å, degrees): 4.200 4.200 5.198 90.00 90.00 90.00
Element x y z (fractional)
1 O 0.000 0.500 0.000
2 O 0.500 0.000 0.000
3 Cu 0.000 0.000 0.500
4 Bi 0.000 0.000 0.000
5 Ag 0.500 0.500 0.500

Total moment: 0.000 μB per atom
Raw formation energy: 0.32 eV/atom
SG: No. 123


Below is a PBEsol-optimized structure of CuAgBiP2, with properties calculated at the meta-GGA SCAN level.

Lattice parameters (Å, degrees): 4.781 5.231 5.231 90.00 90.00 90.00
Element x y z (fractional)
1 P 0.000 0.000 0.500
2 P 0.000 0.500 0.000
3 Cu 0.500 0.000 0.000
4 Bi 0.000 0.000 0.000
5 Ag 0.500 0.500 0.500

Total moment: 0.000 μB per atom
E_form: 1.41 eV per atom
SG: No. 123


Below is a PBEsol-optimized structure of AgBi2F12, with properties calculated at the meta-GGA SCAN level.

Lattice parameters (Å, degrees): 5.254 5.618 8.867 76.03 88.96 65.03
Element x y z (fractional)
1 Ag 0.500 0.500 0.500
2 Bi 0.723 0.020 0.223
3 Bi 0.277 0.980 0.777
4 F 0.227 0.756 0.628
5 F 0.773 0.244 0.372
6 F 0.689 0.747 0.779
7 F 0.676 0.758 0.119
8 F 0.324 0.242 0.881
9 F 0.142 0.785 0.291
10 F 0.858 0.215 0.709
11 F 0.687 0.767 0.437
12 F 0.313 0.233 0.563
13 F 0.802 0.254 0.038
14 F 0.198 0.746 0.962
15 F 0.311 0.253 0.221

Total moment: 0.069 μB per atom
Raw formation energy: -1.66 eV/atom
SG: No. 2


Below is a PBEsol-optimized structure of AgBiI2F, with properties calculated at the meta-GGA SCAN level.

Lattice parameters (Å, degrees): 4.446 6.132 6.132 90.00 90.00 90.00
Element x y z (fractional)
1 I 0.000 0.000 0.500
2 I 0.000 0.500 0.000
3 Bi 0.000 0.000 0.000
4 Ag 0.500 0.500 0.500
5 F 0.500 0.000 0.000

Total moment: 0.000 μB per atom
Raw formation energy: -0.40 eV/atom
SG: No. 123


Below is a PBEsol-optimized structure of Ag2BiRhF, with properties calculated at the meta-GGA SCAN level.

Lattice parameters (Å, degrees): 4.301 5.235 5.235 90.00 90.00 90.00
Element x y z (fractional)
1 Rh 0.500 0.500 0.500
2 Bi 0.000 0.000 0.000
3 Ag 0.000 0.000 0.500
4 Ag 0.000 0.500 0.000
5 F 0.500 0.000 0.000

Total moment: 0.338 μB per atom
Raw formation energy: 0.48 eV/atom
SG: No. 123


Below is a PBEsol-optimized structure of Fe3AgBi, with properties calculated at the meta-GGA SCAN level.

Lattice parameters (Å, degrees): 4.648 4.648 4.648 90.00 90.00 90.00
Element x y z (fractional)
1 Bi 0.500 0.500 0.500
2 Ag 0.000 0.000 0.000
3 Fe 0.000 0.500 0.000
4 Fe 0.000 0.000 0.500
5 Fe 0.500 0.000 0.000

Total moment: 1.924 μB per atom
E_form: 1.19 eV per atom
SG: No. 221


Below is a PBEsol-optimized structure of HfFe2AgBi, with properties calculated at the meta-GGA SCAN level.

Lattice parameters (Å, degrees): 4.749 4.749 5.380 90.00 90.00 90.00
Element x y z (fractional)
1 Hf 0.000 0.000 0.500
2 Bi 0.000 0.000 0.000
3 Ag 0.500 0.500 0.500
4 Fe 0.000 0.500 0.000
5 Fe 0.500 0.000 0.000

Total moment: 1.000 μB per atom
E_form: 1.49 eV per atom
SG: No. 123


Below is a PBEsol-optimized structure of LiFeAg2Bi, with properties calculated at the meta-GGA SCAN level.

Lattice parameters (Å, degrees): 5.011 5.269 5.269 90.00 90.00 90.00
Element x y z (fractional)
1 Li 0.500 0.000 0.000
2 Bi 0.000 0.000 0.000
3 Ag 0.000 0.000 0.500
4 Ag 0.000 0.500 0.000
5 Fe 0.500 0.500 0.500

Total moment: 0.805 μB per atom
E_form: 0.94 eV per atom
SG: No. 123


Below is a PBEsol-optimized structure of TaGaAgBi2, with properties calculated at the meta-GGA SCAN level.

Lattice parameters (Å, degrees): 5.267 5.370 5.370 90.00 90.00 90.00
Element x y z (fractional)
1 Ga 0.500 0.500 0.500
2 Bi 0.000 0.000 0.500
3 Bi 0.000 0.500 0.000
4 Ag 0.500 0.000 0.000
5 Ta 0.000 0.000 0.000

Total moment: 0.000 μB per atom
E_form: 0.79 eV per atom
SG: No. 123


Below is a PBEsol-optimized structure of TlGa2AgBi, with properties calculated at the meta-GGA SCAN level.

Lattice parameters (Å, degrees): 5.244 5.587 5.587 90.00 90.00 90.00
Element x y z (fractional)
1 Tl 0.500 0.500 0.500
2 Ga 0.000 0.000 0.500
3 Ga 0.000 0.500 0.000
4 Bi 0.000 0.000 0.000
5 Ag 0.500 0.000 0.000

Total moment: 0.000 μB per atom
E_form: 0.62 eV per atom
SG: No. 123


Below is a PBEsol-optimized structure of Ga2AgBiW, with properties calculated at the meta-GGA SCAN level.

Lattice parameters (Å, degrees): 4.680 4.680 5.277 90.00 90.00 90.00
Element x y z (fractional)
1 Ag 0.000 0.000 0.000
2 Ga 0.000 0.500 0.000
3 Ga 0.500 0.000 0.000
4 Bi 0.500 0.500 0.500
5 W 0.000 0.000 0.500

Total moment: 0.587 μB per atom
E_form: 1.22 eV per atom
SG: No. 123


Below is a PBEsol-optimized structure of NbAgGe2Bi, with properties calculated at the meta-GGA SCAN level.

Lattice parameters (Å, degrees): 5.327 5.352 5.352 90.00 90.00 90.00
Element x y z (fractional)
1 Nb 0.500 0.000 0.000
2 Ge 0.000 0.000 0.500
3 Ge 0.000 0.500 0.000
4 Bi 0.000 0.000 0.000
5 Ag 0.500 0.500 0.500

Total moment: 0.520 μB per atom
E_form: 1.58 eV per atom
SG: No. 123


Below is a PBEsol-optimized structure of AgBiH3, with properties calculated at the meta-GGA SCAN level.

Lattice parameters (Å, degrees): 3.867 3.867 3.867 90.00 90.00 90.00
Element x y z (fractional)
1 H 0.000 0.500 0.000
2 H 0.000 0.000 0.500
3 H 0.500 0.000 0.000
4 Bi 0.500 0.500 0.500
5 Ag 0.000 0.000 0.000

Total moment: 0.000 μB per atom
VASP energy: -116.55 eV per cell
SG: No. 221


Below is a PBEsol-optimized structure of MgAgBiH2, with properties calculated at the meta-GGA SCAN level.

Lattice parameters (Å, degrees): 3.920 3.920 6.257 90.00 90.00 90.00
Element x y z (fractional)
1 H 0.000 0.500 0.000
2 H 0.500 0.000 0.000
3 Mg 0.000 0.000 0.000
4 Bi 0.000 0.000 0.500
5 Ag 0.500 0.500 0.500

Total moment: 0.000 μB per atom
VASP energy: -120.22 eV per cell
SG: No. 123


Below is a PBEsol-optimized structure of Ag3HgBi, with properties calculated at the meta-GGA SCAN level.

Lattice parameters (Å, degrees): 5.317 5.317 5.317 90.00 90.00 90.00
Element x y z (fractional)
1 Bi 0.000 0.000 0.000
2 Ag 0.000 0.500 0.000
3 Ag 0.000 0.000 0.500
4 Ag 0.500 0.000 0.000
5 Hg 0.500 0.500 0.500

Total moment: 0.000 μB per atom
E_form: 0.43 eV per atom
SG: No. 221


Below is a PBEsol-optimized structure of AgHgBi3, with properties calculated at the meta-GGA SCAN level.

Lattice parameters (Å, degrees): 5.601 5.601 5.601 90.00 90.00 90.00
Element x y z (fractional)
1 Bi 0.000 0.500 0.000
2 Bi 0.000 0.000 0.500
3 Bi 0.500 0.000 0.000
4 Ag 0.500 0.500 0.500
5 Hg 0.000 0.000 0.000

Total moment: 0.000 μB per atom
E_form: 0.93 eV per atom
SG: No. 221


Below is a PBEsol-optimized structure of NbAg2HgBi, with properties calculated at the meta-GGA SCAN level.

Lattice parameters (Å, degrees): 5.090 5.090 5.384 90.00 90.00 90.00
Element x y z (fractional)
1 Nb 0.000 0.000 0.500
2 Bi 0.000 0.000 0.000
3 Ag 0.000 0.500 0.000
4 Ag 0.500 0.000 0.000
5 Hg 0.500 0.500 0.500

Total moment: 0.579 μB per atom
E_form: 1.05 eV per atom
SG: No. 123


Below is a PBEsol-optimized structure of K2AgBiI6, with properties calculated at the meta-GGA SCAN level.

Lattice parameters (Å, degrees): 8.389 8.389 8.389 60.00 60.00 60.00
Element x y z (fractional)
1 I 0.744 0.256 0.256
2 I 0.744 0.744 0.256
3 I 0.256 0.744 0.744
4 I 0.744 0.256 0.744
5 I 0.256 0.744 0.256
6 I 0.256 0.256 0.744
7 K 0.750 0.750 0.750
8 K 0.250 0.250 0.250
9 Bi 0.000 0.000 0.000
10 Ag 0.500 0.500 0.500

Total moment: 0.000 μB per atom
Raw formation energy: -0.80 eV/atom
SG: No. 225


Below is a PBEsol-optimized structure of Rb2AgBiI6, with properties calculated at the meta-GGA SCAN level.

Lattice parameters (Å, degrees): 8.410 8.410 8.410 60.00 60.00 60.00
Element x y z (fractional)
1 Rb 0.750 0.750 0.750
2 Rb 0.250 0.250 0.250
3 Ag 0.500 0.500 0.500
4 Bi 0.000 0.000 0.000
5 I 0.744 0.256 0.256
6 I 0.744 0.744 0.256
7 I 0.256 0.744 0.744
8 I 0.744 0.256 0.744
9 I 0.256 0.744 0.256
10 I 0.256 0.256 0.744

Total moment: 0.000 μB per atom
Raw formation energy: -0.85 eV/atom
SG: No. 225